1.
A plane-wave DFT calculation with GGA-PBE was carried out for a relaxed structure of Tb2Dy3In3.

Lattice parameters (Å, degrees): 3.7690 5.3331 11.6311 103.25 99.32 90.00
Fractional positions:
Dy1 0.3761 0.3761 0.7522
Dy2 0.5000 0.0000 0.0000
Dy3 0.6239 0.6239 0.2478
In1 0.0000 0.5000 0.0000
In2 0.1185 0.1185 0.2371
In3 0.8815 0.8815 0.7629
Tb1 0.7346 0.2346 0.4691
Tb2 0.2654 0.7654 0.5309

Summary:
Calculated density: 8.5 g/cm3



2.
A plane-wave DFT calculation with GGA-PBE was carried out for a relaxed structure of Tb2Dy3In3.

Lattice parameters (Å, degrees): 4.9144 4.9155 9.1600 90.00 90.00 90.00
Each line ends with the local moment (μB).
Fractional positions:
Dy1 0.5000 0.0000 0.0000  0.28
Dy2 0.5000 0.5000 0.7360  0.17
Dy3 0.5000 0.5000 0.2640  0.17
Tb1 0.0000 0.0000 0.2624  0.17
Tb2 0.0000 0.0000 0.7376  0.17
In1 0.0000 0.5000 0.0000  -0.01
In2 0.5000 0.0000 0.5000  0.00
In3 0.0000 0.5000 0.5000  -0.01

Summary:
Calculated density: 8.6 g/cm3



1 comes first in stability; the runner-up is 0.009 eV/atom higher.



1.
A plane-wave DFT calculation with GGA-PBE was carried out for a relaxed structure of Tb2DyIn2.

Lattice parameters (Å, degrees): 4.9135 6.0079 6.0079 69.98 65.86 65.86
Fractional positions:
In1 0.5000 0.2887 0.7113
In2 0.5000 0.7113 0.2887
Tb1 0.1935 0.3065 0.3065
Tb2 0.8065 0.6935 0.6935
Dy1 0.0000 0.0000 0.0000

Summary:
Calculated density: 8.2 g/cm3



2.
A plane-wave DFT calculation with GGA-PBE was carried out for a relaxed structure of Tb2DyIn2.

Lattice parameters (Å, degrees): 3.7509 5.3488 14.0465 90.00 97.69 90.00
Fractional positions:
In1 0.5507 0.2500 0.1010
In2 0.6425 0.7500 0.2864
In3 0.3575 0.2500 0.7136
In4 0.4493 0.7500 0.8990
Dy1 0.8518 0.7500 0.7018
Dy2 0.1482 0.2500 0.2982
Tb1 0.9523 0.2500 0.9047
Tb2 0.2369 0.7500 0.4738
Tb3 0.7631 0.2500 0.5262
Tb4 0.0477 0.7500 0.0953

Summary:
Calculated density: 8.4 g/cm3



2 comes first in stability; the runner-up is 0.026 eV/atom higher.



1.
A plane-wave DFT calculation with GGA-PBE was carried out for a relaxed structure of Tb4Dy5In.

Lattice parameters (Å, degrees): 5.7981 8.0280 8.0280 82.51 68.83 68.83
Fractional positions:
Tb1 0.4586 0.3145 0.6854
Tb2 0.1441 0.3146 0.3145
Tb3 0.7732 0.6854 0.6855
Tb4 0.4586 0.6855 0.3146
Dy1 0.7694 0.0000 0.3714
Dy2 0.1408 0.0000 0.6286
Dy3 0.6691 0.0000 0.0000
Dy4 0.7694 0.3714 0.0000
Dy5 0.1407 0.6286 0.0000
In1 0.1865 0.0000 0.0000

Summary:
Calculated density: 8.0 g/cm3



2.
A plane-wave DFT calculation with GGA-PBE was carried out for a relaxed structure of Tb4Dy5In.

Lattice parameters (Å, degrees): 4.1265 4.1265 18.0696 90.00 90.00 90.00
Fractional positions:
Tb1 0.0000 0.0000 0.6011
Tb2 0.0000 0.0000 0.3989
Tb3 0.0000 0.0000 0.8030
Tb4 0.0000 0.0000 0.1970
Dy1 0.5000 0.5000 0.7045
Dy2 0.5000 0.5000 0.2955
Dy3 0.5000 0.5000 0.9101
Dy4 0.5000 0.5000 0.0899
Dy5 0.5000 0.5000 0.5000
In1 0.0000 0.0000 0.0000

Summary:
Calculated density: 8.4 g/cm3



2 comes first in stability; the runner-up is 0.097 eV/atom higher.



1.
A plane-wave DFT calculation with GGA-PBE was carried out for a relaxed structure of Tb6Dy8In.

Lattice parameters (Å, degrees): 6.3537 9.3128 9.3128 120.00 90.00 90.00
Fractional positions:
Tb1 0.3219 0.5494 0.6422
Tb2 0.6781 0.4506 0.3578
Tb3 0.3219 0.3578 0.9071
Tb4 0.6781 0.9071 0.5494
Tb5 0.6781 0.6422 0.0929
Tb6 0.3219 0.0929 0.4506
Dy1 0.1698 0.6667 0.3333
Dy2 0.8151 0.7333 0.7721
Dy3 0.1849 0.2667 0.2279
Dy4 0.8151 0.0388 0.2667
Dy5 0.1849 0.7721 0.0388
Dy6 0.1849 0.9612 0.7333
Dy7 0.8151 0.2279 0.9612
Dy8 0.8302 0.3333 0.6667
In1 0.5000 0.0000 0.0000

Summary:
Calculated density: 8.2 g/cm3



2.
A plane-wave DFT calculation with GGA-PBE was carried out for a relaxed structure of Tb6Dy8In.

Lattice parameters (Å, degrees): 8.9772 8.9772 8.4966 58.11 58.11 60.00
Fractional positions:
Tb1 0.5490 0.1034 0.1146
Tb2 0.1034 0.2330 0.1146
Tb3 0.7670 0.4510 0.8854
Tb4 0.2330 0.5490 0.1146
Tb5 0.4510 0.8966 0.8854
Tb6 0.8966 0.7670 0.8854
Dy1 0.1087 0.7493 0.4263
Dy2 0.7157 0.1087 0.4263
Dy3 0.7493 0.7157 0.4263
Dy4 0.2843 0.8913 0.5737
Dy5 0.2507 0.2843 0.5737
Dy6 0.8913 0.2507 0.5737
Dy7 0.5762 0.5762 0.2714
Dy8 0.4238 0.4238 0.7286
In1 0.0000 0.0000 0.0000

Summary:
Calculated density: 8.4 g/cm3



2 comes first in stability; the runner-up is 0.060 eV/atom higher.